one | Material: Rb2Bi2Sb
Method: DFT, PBE
State: relaxed

Properties
Crystal system: tetragonal
DOS at the Fermi energy in states/eV per cell: 5.376

abc: 8.2850 8.2850 5.9477
angles: 90.00 90.00 90.00
Space group P4/mbm (No. 127)
Symmetry-distinct sites (fractional):
Rb: 0.1769 0.3231 0.0000 [4 per cell]
Bi: 0.1304 0.6304 0.5000 [4 per cell]
Sb: 0.0000 0.0000 0.5000 [2 per cell]

two | Material: Rb2Bi2Sb
Method: DFT, PBE
State: relaxed

Properties
Crystal system: triclinic
DOS at the Fermi energy in states/eV per cell: 1.371

abc: 5.7091 7.2606 12.9079
angles: 90.60 102.71 113.02
Space group P-1 (No. 2)
Symmetry-distinct sites (fractional):
Rb: 0.0875 0.2677 0.4074 [2 per cell]
Rb: 0.3098 0.3115 0.8111 [2 per cell]
Bi: 0.2152 0.9040 0.0254 [2 per cell]
Bi: 0.3764 0.8507 0.4001 [2 per cell]
Sb: 0.4368 0.1354 0.2361 [2 per cell]

Which structure is the least stable? The one labeled one.

one | Material: RbBiSbTe2
Method: DFT, PBE
State: relaxed

Properties
Crystal system: tetragonal
DOS at the Fermi energy in states/eV per cell: 9.442

abc: 6.1205 6.1205 5.9301
angles: 90.00 90.00 90.00
Space group P4/mmm (No. 123)
Symmetry-distinct sites (fractional):
Rb: 0.0000 0.0000 0.0000 [1 per cell]
Bi: 0.5000 0.5000 0.5000 [1 per cell]
Sb: 0.0000 0.0000 0.5000 [1 per cell]
Te: 0.0000 0.5000 0.0000 [2 per cell]

two | Material: RbBiSbTe2
Method: DFT, PBE
State: relaxed

Properties
Crystal system: tetragonal
DOS at the Fermi energy in states/eV per cell: 5.184

abc: 6.1524 6.1524 5.8887
angles: 90.00 90.00 90.00
Space group P4/mmm (No. 123)
Symmetry-distinct sites (fractional):
Rb: 0.0000 0.0000 0.0000 [1 per cell]
Bi: 0.5000 0.5000 0.5000 [1 per cell]
Sb: 0.5000 0.5000 0.0000 [1 per cell]
Te: 0.0000 0.5000 0.5000 [2 per cell]

Which structure is the least stable? The one labeled one.

one | Material: RbScBi2
Method: DFT, PBE
State: relaxed

Properties
Crystal system: cubic
DOS at the Fermi energy in states/eV per cell: 27.946

abc: 7.9784 7.9784 7.9784
angles: 90.00 90.00 90.00
Space group Fm-3m (No. 225)
Symmetry-distinct sites (fractional):
Rb: 0.0000 0.0000 0.0000 [4 per cell]
Sc: 0.0000 0.0000 0.5000 [4 per cell]
Bi: 0.2500 0.2500 0.2500 [8 per cell]

two | Material: RbScBi2
Method: DFT, PBE
State: relaxed

Properties
Crystal system: tetragonal
DOS at the Fermi energy in states/eV per cell: 3.757

abc: 3.6148 3.6148 9.7676
angles: 90.00 90.00 90.00
Space group P4/mmm (No. 123)
Symmetry-distinct sites (fractional):
Rb: 0.0000 0.0000 0.0000 [1 per cell]
Sc: 0.0000 0.0000 0.5000 [1 per cell]
Bi: 0.5000 0.5000 0.2956 [2 per cell]

Which structure is the least stable? The one labeled one.

one | Material: RbScBi2
Method: DFT, PBE
State: relaxed

Properties
Crystal system: trigonal
DOS at the Fermi energy in states/eV per cell: 9.865

abc: 4.6346 4.6346 24.9485
angles: 90.00 90.00 120.00
Space group R3m (No. 160, hexagonal axes)
Symmetry-distinct sites (fractional):
Rb: 0.0000 0.0000 0.0000 [3 per cell]
Sc: 0.0000 0.0000 0.1709 [3 per cell]
Bi: 0.0000 0.0000 0.5593 [3 per cell]
Bi: 0.0000 0.0000 0.7807 [3 per cell]

two | Material: RbScBi2
Method: DFT, PBE
State: relaxed

Properties
Crystal system: tetragonal
DOS at the Fermi energy in states/eV per cell: 0.943

abc: 6.5145 6.5145 18.3587
angles: 90.00 90.00 90.00
Space group I-42d (No. 122)
Symmetry-distinct sites (fractional):
Rb: 0.0000 0.0000 0.0000 [4 per cell]
Sc: 0.0000 0.0000 0.5000 [4 per cell]
Bi: 0.0711 0.2500 0.6250 [8 per cell]

Which structure is the least stable? The one labeled two.

one | Material: RbSc3Bi
Method: DFT, PBE
State: relaxed

Properties
Crystal system: cubic
DOS at the Fermi energy in states/eV per cell: 4.528

abc: 5.1686 5.1686 5.1686
angles: 90.00 90.00 90.00
Space group Pm-3m (No. 221)
Symmetry-distinct sites (fractional):
Rb: 0.0000 0.0000 0.0000 [1 per cell]
Sc: 0.0000 0.0000 0.5000 [3 per cell]
Bi: 0.5000 0.5000 0.5000 [1 per cell]

two | Material: RbSc3Bi
Method: DFT, PBE
State: relaxed

Properties
Crystal system: cubic
DOS at the Fermi energy in states/eV per cell: 6.282

abc: 5.7398 5.7398 5.7398
angles: 90.00 90.00 90.00
Space group Pm-3m (No. 221)
Symmetry-distinct sites (fractional):
Rb: 0.0000 0.0000 0.0000 [1 per cell]
Sc: 0.0000 0.5000 0.5000 [3 per cell]
Bi: 0.5000 0.5000 0.5000 [1 per cell]

Which structure is the least stable? The one labeled one.

one | Material: Rb2BiSe2
Method: DFT, PBE
State: relaxed

Properties
Crystal system: monoclinic
DOS at the Fermi energy in states/eV per cell: 3.626

abc: 11.3912 8.6712 8.3085
angles: 90.00 99.43 90.00
Space group P2_1/c (No. 14)
Symmetry-distinct sites (fractional):
Rb: 0.0453 0.2363 0.0164 [4 per cell]
Rb: 0.3388 0.6804 0.9889 [4 per cell]
Bi: 0.3434 0.1379 0.8659 [4 per cell]
Se: 0.1464 0.5502 0.2630 [4 per cell]
Se: 0.4272 0.0655 0.1859 [4 per cell]

two | Material: Rb2BiSe2
Method: DFT, PBE
State: relaxed

Properties
Crystal system: tetragonal
DOS at the Fermi energy in states/eV per cell: 3.404

abc: 8.2684 8.2684 5.0314
angles: 90.00 90.00 90.00
Space group P4/mbm (No. 127)
Symmetry-distinct sites (fractional):
Rb: 0.1401 0.3599 0.0000 [4 per cell]
Bi: 0.0000 0.0000 0.5000 [2 per cell]
Se: 0.1760 0.6760 0.5000 [4 per cell]

Which structure is the least stable? The one labeled two.

one | Material: RbBiSe3
Method: DFT, PBE
State: relaxed

Properties
Crystal system: cubic
DOS at the Fermi energy in states/eV per cell: 6.858

abc: 5.6070 5.6070 5.6070
angles: 90.00 90.00 90.00
Space group Pm-3m (No. 221)
Symmetry-distinct sites (fractional):
Rb: 0.0000 0.0000 0.0000 [1 per cell]
Bi: 0.5000 0.5000 0.5000 [1 per cell]
Se: 0.0000 0.5000 0.5000 [3 per cell]

two | Material: RbBiSe3
Method: DFT, PBE
State: relaxed

Properties
Crystal system: cubic
DOS at the Fermi energy in states/eV per cell: 6.926

abc: 5.6713 5.6713 5.6713
angles: 90.00 90.00 90.00
Space group Pm-3m (No. 221)
Symmetry-distinct sites (fractional):
Rb: 0.0000 0.0000 0.0000 [1 per cell]
Bi: 0.5000 0.5000 0.5000 [1 per cell]
Se: 0.0000 0.0000 0.5000 [3 per cell]

Which structure is the least stable? The one labeled two.

one | Material: Rb3BiSe
Method: DFT, PBE
State: relaxed

Properties
Crystal system: cubic
DOS at the Fermi energy in states/eV per cell: 5.158

abc: 6.5780 6.5780 6.5780
angles: 90.00 90.00 90.00
Space group Pm-3m (No. 221)
Symmetry-distinct sites (fractional):
Rb: 0.0000 0.0000 0.5000 [3 per cell]
Bi: 0.5000 0.5000 0.5000 [1 per cell]
Se: 0.0000 0.0000 0.0000 [1 per cell]

two | Material: Rb3BiSe
Method: DFT, PBE
State: relaxed

Properties
Crystal system: monoclinic
DOS at the Fermi energy in states/eV per cell: 6.101

abc: 17.1415 4.7610 11.3293
angles: 90.00 97.10 90.00
Space group C2/m (No. 12)
Symmetry-distinct sites (fractional):
Rb: 0.0549 0.0000 0.1320 [4 per cell]
Rb: 0.0873 0.5000 0.6326 [4 per cell]
Rb: 0.2354 0.0000 0.8494 [4 per cell]
Bi: 0.2014 0.0000 0.4428 [4 per cell]
Se: 0.1076 0.5000 0.9214 [4 per cell]

Which structure is the least stable? The one labeled one.